No. 1
A relaxed structure of Re2NiOs, computed with PBE.

Calculated values
The value obtained for the formation energy is 115 meV/atom. The total moment comes out at 0.0 μB/f.u.

Structure (POSCAR):
```
Re2NiOs
1.0
4.5040 -1.3686 0.0000
4.5040 1.3686 0.0000
-0.8141 0.0000 4.5503
Re Ni Os
2 1 1
direct
0.2477 0.2477 0.2480 Re
0.7523 0.7523 0.7520 Re
0.0000 0.0000 0.5000 Ni
0.5000 0.5000 0.0000 Os
```

No. 2
A relaxed structure of Hf3Cu2Tc, computed with PBE.

Calculated values
The value obtained for the formation energy is -284 meV/atom. The total moment comes out at 0.3 μB/f.u.

Structure (POSCAR):
```
Hf3Cu2Tc
1.0
3.2807 0.0000 0.0000
0.0000 3.2807 0.0000
0.0000 0.0000 9.6181
Hf Cu Tc
3 2 1
direct
0.0000 0.0000 0.0000 Hf
0.0000 0.0000 0.3376 Hf
0.0000 0.0000 0.6624 Hf
0.5000 0.5000 0.1672 Cu
0.5000 0.5000 0.8328 Cu
0.5000 0.5000 0.5000 Tc
```

No. 3
A relaxed structure of Na2Si7Pt12, computed with PBE.

Calculated values
The total moment comes out at 0.0 μB/f.u. The total energy is -127.6 eV/cell.

Structure (POSCAR):
```
Na2Si7Pt12
1.0
10.0173 0.0000 0.0000
-5.0087 8.6753 0.0000
0.0000 0.0000 3.8272
Na Si Pt
2 7 12
direct
0.0000 0.0000 0.0000 Na
0.3333 0.6667 0.5000 Na
0.0771 0.4542 0.0000 Si
0.2597 0.2162 0.5000 Si
0.3771 0.9229 0.0000 Si
0.5458 0.6229 0.0000 Si
0.6667 0.3333 0.0000 Si
0.7838 0.0435 0.5000 Si
0.9565 0.7403 0.5000 Si
0.0489 0.2648 0.5000 Pt
0.1144 0.7119 0.0000 Pt
0.2159 0.9511 0.5000 Pt
0.2881 0.4025 0.0000 Pt
0.3984 0.1787 0.0000 Pt
0.5225 0.4425 0.5000 Pt
0.5575 0.0800 0.5000 Pt
0.5975 0.8856 0.0000 Pt
0.7352 0.7841 0.5000 Pt
0.7803 0.6016 0.0000 Pt
0.8213 0.2197 0.0000 Pt
0.9200 0.4775 0.5000 Pt
```

No. 4
A relaxed structure of HfTl, computed with PBE.

Calculated values
The value obtained for the formation energy is 243 meV/atom. The total moment comes out at 0.0 μB/f.u.

Structure (POSCAR):
```
HfTl
1.0
5.7064 0.0000 0.0000
0.0000 6.1423 0.0000
0.0000 0.0000 10.6434
Hf Tl
8 8
direct
0.1420 0.0034 0.3719 Hf
0.1443 0.7406 0.6347 Hf
0.3557 0.2594 0.1347 Hf
0.3580 0.9966 0.8719 Hf
0.6420 0.4966 0.6281 Hf
0.6443 0.7594 0.3653 Hf
0.8557 0.2406 0.8653 Hf
0.8580 0.5034 0.1281 Hf
0.1391 0.5137 0.3758 Tl
0.1400 0.2379 0.6269 Tl
0.3600 0.7621 0.1269 Tl
0.3609 0.4863 0.8758 Tl
0.6391 0.9863 0.6242 Tl
0.6400 0.2621 0.3731 Tl
0.8600 0.7379 0.8731 Tl
0.8609 0.0137 0.1242 Tl
```

No. 5
A relaxed structure of KZr2Pd, computed with PBE.

Calculated values
The value obtained for the formation energy is 579 meV/atom. The total moment comes out at 0.0 μB/f.u.

Structure (POSCAR):
```
KZr2Pd
1.0
0.0000 3.5066 3.5066
3.5066 0.0000 3.5066
3.5066 3.5066 0.0000
K Zr Pd
1 2 1
direct
0.0000 0.0000 0.0000 K
0.2500 0.2500 0.2500 Zr
0.7500 0.7500 0.7500 Zr
0.5000 0.5000 0.5000 Pd
```

No. 6
A relaxed structure of BeReRh, computed with PBE.

Calculated values
The value obtained for the formation energy is 8 meV/atom. The total moment comes out at 0.0 μB/f.u.

Structure (POSCAR):
```
BeReRh
1.0
2.7064 0.0000 0.0000
-1.3532 2.3438 0.0000
0.0000 0.0000 6.1037
Be Re Rh
1 1 1
direct
0.0000 0.0000 0.0000 Be
0.6667 0.3333 0.3294 Re
0.3333 0.6667 0.6948 Rh
```

No. 7
A relaxed structure of La2Zn2Se, computed with PBE.

Calculated values
The total moment comes out at 0.0 μB/f.u. The total energy is -37.4 eV/cell.

Structure (POSCAR):
```
La2Zn2Se
1.0
7.6763 0.0000 0.0000
0.0000 7.6763 0.0000
0.0000 0.0000 4.3636
La Zn Se
4 4 2
direct
0.1726 0.3274 0.0000 La
0.3274 0.8274 0.0000 La
0.6726 0.1726 0.0000 La
0.8274 0.6726 0.0000 La
0.1204 0.6204 0.5000 Zn
0.3796 0.1204 0.5000 Zn
0.6204 0.8796 0.5000 Zn
0.8796 0.3796 0.5000 Zn
0.0000 0.0000 0.5000 Se
0.5000 0.5000 0.5000 Se
```

No. 8
A relaxed structure of PrTm2Co, computed with PBE.

Calculated values
The value obtained for the formation energy is 95 meV/atom. The total moment comes out at 0.0 μB/f.u.

Structure (POSCAR):
```
PrTm2Co
1.0
1.8068 1.0431 10.2652
-1.8068 1.0431 10.2652
0.0000 -2.0863 10.2652
Pr Tm Co
1 2 1
direct
0.0000 0.0000 0.0000 Pr
0.1162 0.1162 0.1162 Tm
0.8838 0.8838 0.8838 Tm
0.5000 0.5000 0.5000 Co
```

No. 9
A relaxed structure of BaAg6Pb6, computed with PBE.

Calculated values
The value obtained for the formation energy is -72 meV/atom. The total moment comes out at 0.0 μB/f.u.

Structure (POSCAR):
```
BaAg6Pb6
1.0
-3.0050 5.1827 5.3302
3.0050 -5.1827 5.3302
3.0050 5.1827 -5.3302
Ba Ag Pb
1 6 6
direct
0.0000 0.0000 0.0000 Ba
0.0000 0.0000 0.5000 Ag
0.0000 0.5000 0.0000 Ag
0.2330 0.5000 0.7330 Ag
0.5000 0.0000 0.0000 Ag
0.5000 0.5000 0.5000 Ag
0.7670 0.5000 0.2670 Ag
0.1843 0.6843 0.5000 Pb
0.3472 0.3472 0.0000 Pb
0.3476 0.0000 0.3476 Pb
0.6524 0.0000 0.6524 Pb
0.6528 0.6528 0.0000 Pb
0.8157 0.3157 0.5000 Pb
```

No. 10
A relaxed structure of TaGaTe, computed with PBE.

Calculated values
The total moment comes out at 0.0 μB/f.u. The total energy is -54.5 eV/cell.

Structure (POSCAR):
```
TaGaTe
1.0
8.1670 -1.8409 0.0000
8.1670 1.8409 0.0000
-3.4760 0.0000 6.7814
Ta Ga Te
3 3 3
direct
0.0000 0.0000 0.0000 Ta
0.3426 0.3426 0.8048 Ta
0.5320 0.5320 0.7535 Ta
0.1098 0.1098 0.6017 Ga
0.1994 0.1994 0.4109 Ga
0.6439 0.6439 0.1520 Ga
0.4585 0.4585 0.2276 Te
0.7361 0.7361 0.9128 Te
0.8774 0.8774 0.5609 Te
```

No. 11
A relaxed structure of Tb2Y6Th, computed with PBE.

Calculated values
The value obtained for the formation energy is 155 meV/atom. The total moment comes out at 0.0 μB/f.u.

Structure (POSCAR):
```
Tb2Y6Th
1.0
8.2121 -5.6525 0.0000
8.2121 5.6525 0.0000
-1.0969 0.0000 6.3914
Tb Y Th
4 12 2
direct
0.1504 0.2308 0.4053 Tb
0.2308 0.1504 0.9053 Tb
0.7692 0.8496 0.0947 Tb
0.8496 0.7692 0.5947 Tb
0.0800 0.5617 0.2252 Y
0.1216 0.8356 0.9907 Y
0.1644 0.8784 0.5093 Y
0.2468 0.4926 0.7385 Y
0.4383 0.9200 0.2748 Y
0.4926 0.2468 0.2385 Y
0.5074 0.7532 0.7615 Y
0.5617 0.0800 0.7252 Y
0.7532 0.5074 0.2615 Y
0.8356 0.1216 0.4907 Y
0.8784 0.1644 0.0093 Y
0.9200 0.4383 0.7748 Y
0.3981 0.6019 0.2500 Th
0.6019 0.3981 0.7500 Th
```

No. 12
A relaxed structure of Sc2SbAs2, computed with PBE.

Calculated values
The total moment comes out at 0.0 μB/f.u. The total energy is -59.5 eV/cell.

Structure (POSCAR):
```
Sc2SbAs2
1.0
7.7426 0.0000 0.0000
0.0000 7.7426 0.0000
0.0000 0.0000 3.5556
Sc Sb As
4 2 4
direct
0.1531 0.3469 0.0000 Sc
0.3469 0.8469 0.0000 Sc
0.6531 0.1531 0.0000 Sc
0.8469 0.6531 0.0000 Sc
0.0000 0.0000 0.5000 Sb
0.5000 0.5000 0.5000 Sb
0.1461 0.6461 0.5000 As
0.3539 0.1461 0.5000 As
0.6461 0.8539 0.5000 As
0.8539 0.3539 0.5000 As
```

No. 13
A relaxed structure of CrGa2Pt8, computed with PBE.

Calculated values
The value obtained for the formation energy is -338 meV/atom. The total moment comes out at 2.8 μB/f.u.

Structure (POSCAR):
```
CrGa2Pt8
1.0
7.0803 -2.0046 0.0000
7.0803 2.0046 0.0000
-2.0420 0.0000 5.9470
Cr Ga Pt
1 2 8
direct
0.0000 0.0000 0.0000 Cr
0.2829 0.2829 0.3467 Ga
0.7171 0.7171 0.6533 Ga
0.0951 0.0951 0.4571 Pt
0.1769 0.1769 0.9319 Pt
0.3524 0.3524 0.7867 Pt
0.4563 0.4563 0.2654 Pt
0.5437 0.5437 0.7346 Pt
0.6476 0.6476 0.2133 Pt
0.8231 0.8231 0.0681 Pt
0.9049 0.9049 0.5429 Pt
```

No. 14
A relaxed structure of LaAl2Pb, computed with PBE.

Calculated values
The value obtained for the formation energy is -25 meV/atom. The total moment comes out at 0.0 μB/f.u.

Structure (POSCAR):
```
LaAl2Pb
1.0
0.0000 3.7138 3.7138
3.7138 0.0000 3.7138
3.7138 3.7138 0.0000
La Al Pb
1 2 1
direct
0.0000 0.0000 0.0000 La
0.2500 0.2500 0.2500 Al
0.5000 0.5000 0.5000 Al
0.7500 0.7500 0.7500 Pb
```

No. 15
A relaxed structure of ZrBeSb2, computed with PBE.

Calculated values
The total moment comes out at 0.0 μB/f.u. The total energy is -39.8 eV/cell.

Structure (POSCAR):
```
ZrBeSb2
1.0
-3.1727 3.1727 5.7251
3.1727 -3.1727 5.7251
3.1727 3.1727 -5.7251
Zr Be Sb
2 2 4
direct
0.0000 0.0000 0.0000 Zr
0.7500 0.2500 0.5000 Zr
0.2500 0.7500 0.5000 Be
0.5000 0.5000 0.0000 Be
0.1709 0.6250 0.0459 Sb
0.3750 0.4209 0.5459 Sb
0.5791 0.1250 0.9541 Sb
0.8750 0.8291 0.4541 Sb
```

No. 16
A relaxed structure of YLuGaIr, computed with PBE.

Calculated values
The value obtained for the formation energy is -714 meV/atom. The total moment comes out at 0.0 μB/f.u.

Structure (POSCAR):
```
YLuGaIr
1.0
0.0000 3.4714 3.4714
3.4714 0.0000 3.4714
3.4714 3.4714 0.0000
Y Lu Ga Ir
1 1 1 1
direct
0.0000 0.0000 0.0000 Y
0.5000 0.5000 0.5000 Lu
0.2500 0.2500 0.2500 Ga
0.7500 0.7500 0.7500 Ir
```

No. 17
A relaxed structure of Er3TaTl3S8, computed with PBE.

Calculated values
The total moment comes out at 0.7 μB/f.u. The total energy is -85.9 eV/cell.

Structure (POSCAR):
```
Er3TaTl3S8
1.0
3.8568 2.2267 7.6862
-3.8568 2.2267 7.6862
0.0000 -4.4534 7.6862
Er Ta Tl S
3 1 3 8
direct
0.0000 0.5000 0.5000 Er
0.5000 0.0000 0.5000 Er
0.5000 0.5000 0.0000 Er
0.0000 0.0000 0.0000 Ta
0.0000 0.0000 0.5000 Tl
0.0000 0.5000 0.0000 Tl
0.5000 0.0000 0.0000 Tl
0.2171 0.2171 0.7544 S
0.2171 0.7544 0.2171 S
0.2456 0.7829 0.7829 S
0.2675 0.2675 0.2675 S
0.7325 0.7325 0.7325 S
0.7544 0.2171 0.2171 S
0.7829 0.2456 0.7829 S
0.7829 0.7829 0.2456 S
```

No. 18
A relaxed structure of LiSiI2N, computed with PBE.

Calculated values
The total moment comes out at 0.0 μB/f.u. The total energy is -19.3 eV/cell.

Structure (POSCAR):
```
LiSiI2N
1.0
5.7934 0.0000 0.0000
0.0000 5.7934 0.0000
0.0000 0.0000 3.4137
Li Si I N
1 1 2 1
direct
0.0000 0.0000 0.0000 Li
0.5000 0.5000 0.5000 Si
0.0000 0.5000 0.5000 I
0.5000 0.0000 0.5000 I
0.5000 0.5000 0.0000 N
```

No. 19
A relaxed structure of CdSe3, computed with PBE.

Calculated values
The total moment comes out at 0.0 μB/f.u. The total energy is -11.6 eV/cell.

Structure (POSCAR):
```
CdSe3
1.0
-2.0360 5.4376 2.4322
2.0360 -5.4376 2.4322
2.0360 5.4376 -2.4322
Cd Se
1 3
direct
0.0000 0.0000 0.0000 Cd
0.4331 0.9331 0.5000 Se
0.6175 0.2783 0.3392 Se
0.9392 0.2783 0.6608 Se
```

No. 20
A relaxed structure of TbTi2Cl8, computed with PBE.

Calculated values
The total moment comes out at 3.0 μB/f.u. The total energy is -53.3 eV/cell.

Structure (POSCAR):
```
TbTi2Cl8
1.0
6.4437 -4.7277 0.0000
6.4437 4.7277 0.0000
-0.4429 0.0000 6.4442
Tb Ti Cl
1 2 8
direct
0.0000 0.0000 0.0000 Tb
0.1933 0.1933 0.6417 Ti
0.8067 0.8067 0.3583 Ti
0.0935 0.7129 0.2256 Cl
0.1684 0.1684 0.2743 Cl
0.2871 0.9065 0.7744 Cl
0.3601 0.3601 0.7574 Cl
0.6399 0.6399 0.2426 Cl
0.7129 0.0935 0.2256 Cl
0.8316 0.8316 0.7257 Cl
0.9065 0.2871 0.7744 Cl
```

No. 21
A relaxed structure of SiAs2Cl, computed with PBE.

Calculated values
The total moment comes out at 0.0 μB/f.u. The total energy is -15.6 eV/cell.

Structure (POSCAR):
```
SiAs2Cl
1.0
3.3327 0.0000 0.0000
0.0000 3.3327 0.0000
0.0000 0.0000 7.9049
Si As Cl
1 2 1
direct
0.0000 0.0000 0.0000 Si
0.0000 0.0000 0.3889 As
0.5000 0.5000 0.2300 As
0.5000 0.5000 0.7963 Cl
```

No. 22
A relaxed structure of H2Ir2Ru, computed with PBE.

Calculated values
The total moment comes out at 0.4 μB/f.u. The total energy is -31.8 eV/cell.

Structure (POSCAR):
```
H2Ir2Ru
1.0
-1.7372 1.7372 4.1209
1.7372 -1.7372 4.1209
1.7372 1.7372 -4.1209
H Ir Ru
2 2 1
direct
0.2500 0.7500 0.5000 H
0.7500 0.2500 0.5000 H
0.1599 0.1599 0.0000 Ir
0.8401 0.8401 0.0000 Ir
0.5000 0.5000 0.0000 Ru
```

No. 23
A relaxed structure of Th2Zn5Pt, computed with PBE.

Calculated values
The value obtained for the formation energy is -484 meV/atom. The total moment comes out at 0.0 μB/f.u.

Structure (POSCAR):
```
Th2Zn5Pt
1.0
2.1380 -8.2762 0.0000
2.1380 8.2762 0.0000
0.0000 0.0000 8.9710
Th Zn Pt
4 10 2
direct
0.0000 0.0000 0.0000 Th
0.0000 0.0000 0.5000 Th
0.1965 0.8035 0.7500 Th
0.8035 0.1965 0.2500 Th
0.1874 0.8126 0.1089 Zn
0.1874 0.8126 0.3911 Zn
0.3483 0.6517 0.0182 Zn
0.3483 0.6517 0.4818 Zn
0.3987 0.6013 0.7500 Zn
0.6013 0.3987 0.2500 Zn
0.6517 0.3483 0.5182 Zn
0.6517 0.3483 0.9818 Zn
0.8126 0.1874 0.6089 Zn
0.8126 0.1874 0.8911 Zn
0.4462 0.5538 0.2500 Pt
0.5538 0.4462 0.7500 Pt
```